# Ac2PaC GGA-PBE optimized geometry
data_Ac2PaC
_space_group_name_H-M_alt 'R -3 m'
_space_group_IT_number 166
_space_group_name_Hall '-R 3 2"'
_cell_length_a 3.7540
_cell_length_b 3.7540
_cell_length_c 31.7531
_cell_angle_alpha 90.00
_cell_angle_beta 90.00
_cell_angle_gamma 120.00
loop_
_atom_site_label
_atom_site_type_symbol
_atom_site_fract_x
_atom_site_fract_y
_atom_site_fract_z
Ac1 Ac 0.0000 0.0000 0.0748
Pa1 Pa 0.0000 0.0000 0.5000
C1 C 0.0000 0.0000 0.0000
# ΔE_f ... 1378 meV per atom
# Total magnetic moment ... 0.2601 μB/atom